Entry 1
VASP calculation (PBE) on an optimized crystal structure of Mg3Re. Values from VASP.

The structure in Quantum ESPRESSO input format:
```
&SYSTEM
  ibrav = 0, nat = 4, ntyp = 2
/
ATOMIC_SPECIES
Mg 24.30 Mg.upf
Re 186.21 Re.upf
CELL_PARAMETERS angstrom
5.643 -0.008 0.011
2.488 5.065 -0.011
-3.202 -3.916 2.501
ATOMIC_POSITIONS crystal
Mg 0.583 0.259 0.324
Re 0.016 0.000 0.016
Mg 0.502 0.500 0.002
Mg 0.065 0.741 0.324
```

Computed properties:
ρ, g/cm³: 6.03

***

Entry 2
VASP calculation (PBE) on an optimized crystal structure of Mg3Re. Values from VASP.

The structure in Quantum ESPRESSO input format:
```
&SYSTEM
  ibrav = 0, nat = 4, ntyp = 2
/
ATOMIC_SPECIES
Mg 24.30 Mg.upf
Re 186.21 Re.upf
CELL_PARAMETERS angstrom
5.115 -0.001 0.000
1.842 4.772 0.000
-3.478 -2.386 2.893
ATOMIC_POSITIONS crystal
Mg 0.750 0.250 0.500
Re 0.000 0.000 0.000
Mg 0.500 0.500 0.000
Mg 0.250 0.750 0.500
```

Computed properties:
ρ, g/cm³: 6.09

***

Stability verdict: entry 1, ahead by 9.9 kJ/mol of atoms

***

Entry 1
VASP calculation (PBE) on an optimized crystal structure of Mg3Re. Values from VASP.

The structure in Quantum ESPRESSO input format:
```
&SYSTEM
  ibrav = 0, nat = 4, ntyp = 2
/
ATOMIC_SPECIES
Mg 24.30 Mg.upf
Re 186.21 Re.upf
CELL_PARAMETERS angstrom
-3.083 -1.538 -3.673
-0.808 -3.180 -3.820
1.877 1.588 11.276
ATOMIC_POSITIONS crystal
Mg 0.000 0.000 0.500
Mg 0.026 0.026 0.770
Mg 0.974 0.974 0.230
Re 0.000 0.000 0.000
```

Computed properties:
ρ, g/cm³: 6.00

***

Entry 2
VASP calculation (PBE) on an optimized crystal structure of Mg3Re. Values from VASP.

The structure in Quantum ESPRESSO input format:
```
&SYSTEM
  ibrav = 0, nat = 16, ntyp = 2
/
ATOMIC_SPECIES
Mg 24.30 Mg.upf
Re 186.21 Re.upf
CELL_PARAMETERS angstrom
4.442 0.000 0.000
0.000 9.304 0.000
0.000 0.000 7.148
ATOMIC_POSITIONS crystal
Mg 0.749 0.750 0.401
Mg 0.751 0.250 0.901
Re 0.251 0.250 0.163
Mg 0.250 0.007 0.877
Mg 0.251 0.250 0.599
Re 0.749 0.750 0.837
Mg 0.750 0.993 0.123
Mg 0.750 0.007 0.623
Mg 0.750 0.493 0.623
Re 0.249 0.750 0.663
Mg 0.249 0.750 0.099
Mg 0.250 0.993 0.377
Mg 0.250 0.507 0.377
Mg 0.750 0.507 0.123
Mg 0.250 0.493 0.877
Re 0.751 0.250 0.337
```

Computed properties:
ρ, g/cm³: 5.83

***

Entry 3
VASP calculation (PBE) on an optimized crystal structure of Mg3Re. Values from VASP.

The structure in Quantum ESPRESSO input format:
```
&SYSTEM
  ibrav = 0, nat = 8, ntyp = 2
/
ATOMIC_SPECIES
Re 186.21 Re.upf
Mg 24.30 Mg.upf
CELL_PARAMETERS angstrom
-1.726 0.337 5.623
1.048 -5.254 -2.450
4.600 0.267 1.396
ATOMIC_POSITIONS crystal
Re 0.333 0.667 0.250
Mg 0.652 0.826 0.750
Mg 0.348 0.174 0.250
Mg 0.174 0.348 0.750
Mg 0.174 0.826 0.750
Re 0.667 0.333 0.750
Mg 0.826 0.174 0.250
Mg 0.826 0.652 0.250
```

Computed properties:
ρ, g/cm³: 5.95

***

Entry 4
VASP calculation (PBE) on an optimized crystal structure of Mg3Re. Values from VASP.

The structure in Quantum ESPRESSO input format:
```
&SYSTEM
  ibrav = 0, nat = 4, ntyp = 2
/
ATOMIC_SPECIES
Mg 24.30 Mg.upf
Re 186.21 Re.upf
CELL_PARAMETERS angstrom
-3.751 -0.219 3.663
2.120 -4.645 -1.210
1.952 0.364 2.021
ATOMIC_POSITIONS crystal
Mg 0.500 0.500 0.000
Re 0.000 0.000 0.000
Mg 0.000 0.500 0.500
Mg 0.500 0.000 0.500
```

Computed properties:
ρ, g/cm³: 6.06

***

Stability verdict: entry 2, ahead by 10.4 kJ/mol of atoms

***

Entry 1
VASP calculation (PBE) on an optimized crystal structure of Mg3Re. Values from VASP.

The structure in Quantum ESPRESSO input format:
```
&SYSTEM
  ibrav = 0, nat = 4, ntyp = 2
/
ATOMIC_SPECIES
Mg 24.30 Mg.upf
Re 186.21 Re.upf
CELL_PARAMETERS angstrom
4.665 0.000 0.000
2.332 4.040 0.000
2.332 1.347 3.809
ATOMIC_POSITIONS crystal
Mg 0.500 0.500 0.500
Mg 0.250 0.250 0.250
Mg 0.750 0.750 0.750
Re 0.000 0.000 0.000
```

Computed properties:
ρ, g/cm³: 6.00

***

Entry 2
VASP calculation (PBE) on an optimized crystal structure of Mg3Re. Values from VASP.

The structure in Quantum ESPRESSO input format:
```
&SYSTEM
  ibrav = 0, nat = 4, ntyp = 2
/
ATOMIC_SPECIES
Mg 24.30 Mg.upf
Re 186.21 Re.upf
CELL_PARAMETERS angstrom
-1.963 2.763 5.630
-1.165 -4.251 1.680
4.555 -3.661 -6.106
ATOMIC_POSITIONS crystal
Mg 0.207 0.500 0.977
Mg 0.793 0.500 0.023
Re 0.000 0.000 0.000
Mg 0.500 0.000 0.000
```

Computed properties:
ρ, g/cm³: 6.02

***

Stability verdict: entry 2, ahead by 16.0 kJ/mol of atoms

***

Entry 1
VASP calculation (PBE) on an optimized crystal structure of Mg3Re. Values from VASP.

The structure in Quantum ESPRESSO input format:
```
&SYSTEM
  ibrav = 0, nat = 4, ntyp = 2
/
ATOMIC_SPECIES
Mg 24.30 Mg.upf
Re 186.21 Re.upf
CELL_PARAMETERS angstrom
-3.599 -1.409 1.507
1.063 -3.863 -1.074
1.768 -0.545 3.712
ATOMIC_POSITIONS crystal
Mg 0.000 0.500 0.500
Mg 0.500 0.000 0.500
Re 0.000 0.000 0.000
Mg 0.500 0.500 0.000
```

Computed properties:
ρ, g/cm³: 6.03

***

Entry 2
VASP calculation (PBE) on an optimized crystal structure of Mg3Re. Values from VASP.

The structure in Quantum ESPRESSO input format:
```
&SYSTEM
  ibrav = 0, nat = 4, ntyp = 2
/
ATOMIC_SPECIES
Mg 24.30 Mg.upf
Re 186.21 Re.upf
CELL_PARAMETERS angstrom
5.273 0.000 0.000
0.000 5.273 0.000
0.000 0.000 5.273
ATOMIC_POSITIONS crystal
Mg 0.000 0.500 0.000
Mg 0.500 0.000 0.000
Mg 0.000 0.000 0.500
Re 0.000 0.000 0.000
```

Computed properties:
ρ, g/cm³: 2.93

***

Stability verdict: entry 1, ahead by 87.6 kJ/mol of atoms

***

Entry 1
VASP calculation (PBE) on an optimized crystal structure of Mg3Re. Values from VASP.

The structure in Quantum ESPRESSO input format:
```
&SYSTEM
  ibrav = 0, nat = 8, ntyp = 2
/
ATOMIC_SPECIES
Mg 24.30 Mg.upf
Re 186.21 Re.upf
CELL_PARAMETERS angstrom
-1.877 -3.021 3.199
2.866 -3.843 -1.948
4.239 1.285 3.700
ATOMIC_POSITIONS crystal
Mg 0.500 0.162 0.252
Mg 0.000 0.362 0.500
Re 0.500 0.656 0.500
Re 0.000 0.344 0.000
Mg 0.500 0.162 0.748
Mg 0.500 0.638 0.000
Mg 0.000 0.838 0.752
Mg 0.000 0.838 0.248
```

Computed properties:
ρ, g/cm³: 6.02

***

Entry 2
VASP calculation (PBE) on an optimized crystal structure of Mg3Re. Values from VASP.

The structure in Quantum ESPRESSO input format:
```
&SYSTEM
  ibrav = 0, nat = 4, ntyp = 2
/
ATOMIC_SPECIES
Mg 24.30 Mg.upf
Re 186.21 Re.upf
CELL_PARAMETERS angstrom
-2.516 0.889 0.900
-1.236 -2.156 -1.325
0.904 -5.259 7.716
ATOMIC_POSITIONS crystal
Mg 0.500 0.500 0.774
Mg 0.500 0.500 0.226
Mg 0.000 0.000 0.500
Re 0.000 0.000 0.000
```

Computed properties:
ρ, g/cm³: 5.78

***

Entry 3
VASP calculation (PBE) on an optimized crystal structure of Mg3Re. Values from VASP.

The structure in Quantum ESPRESSO input format:
```
&SYSTEM
  ibrav = 0, nat = 4, ntyp = 2
/
ATOMIC_SPECIES
Re 186.21 Re.upf
Mg 24.30 Mg.upf
CELL_PARAMETERS angstrom
2.822 -0.007 0.000
-0.845 2.693 0.000
0.000 0.000 9.665
ATOMIC_POSITIONS crystal
Re 0.000 0.000 0.000
Mg 0.500 0.500 0.228
Mg 0.000 0.000 0.500
Mg 0.500 0.500 0.772
```

Computed properties:
ρ, g/cm³: 5.86

***

Stability verdict: entry 3, ahead by 4.4 kJ/mol of atoms

***

Entry 1
VASP calculation (PBE) on an optimized crystal structure of Mg3Re. Values from VASP.

The structure in Quantum ESPRESSO input format:
```
&SYSTEM
  ibrav = 0, nat = 4, ntyp = 2
/
ATOMIC_SPECIES
Mg 24.30 Mg.upf
Re 186.21 Re.upf
CELL_PARAMETERS angstrom
2.947 0.000 0.000
-1.474 2.552 0.000
0.000 0.000 9.754
ATOMIC_POSITIONS crystal
Mg 0.333 0.667 0.768
Re 0.000 0.000 0.000
Mg 0.000 0.000 0.500
Mg 0.333 0.667 0.232
```

Computed properties:
ρ, g/cm³: 5.86

***

Entry 2
VASP calculation (PBE) on an optimized crystal structure of Mg3Re. Values from VASP.

The structure in Quantum ESPRESSO input format:
```
&SYSTEM
  ibrav = 0, nat = 8, ntyp = 2
/
ATOMIC_SPECIES
Re 186.21 Re.upf
Mg 24.30 Mg.upf
CELL_PARAMETERS angstrom
7.239 -0.682 5.320
3.350 2.633 7.938
-6.431 -3.296 -5.379
ATOMIC_POSITIONS crystal
Re 0.380 0.380 0.000
Mg 0.872 0.872 0.000
Mg 0.128 0.128 0.000
Mg 0.000 0.500 0.500
Mg 0.750 0.250 0.500
Mg 0.500 0.000 0.500
Mg 0.250 0.750 0.500
Re 0.620 0.620 0.000
```

Computed properties:
ρ, g/cm³: 6.11

***

Stability verdict: entry 1, ahead by 7.7 kJ/mol of atoms

***

Entry 1
VASP calculation (PBE) on an optimized crystal structure of Mg3Re. Values from VASP.

The structure in Quantum ESPRESSO input format:
```
&SYSTEM
  ibrav = 0, nat = 4, ntyp = 2
/
ATOMIC_SPECIES
Re 186.21 Re.upf
Mg 24.30 Mg.upf
CELL_PARAMETERS angstrom
-0.241 3.299 3.621
-4.298 -1.880 1.427
1.419 -1.876 1.803
ATOMIC_POSITIONS crystal
Re 0.000 0.000 0.000
Mg 0.500 0.000 0.500
Mg 0.500 0.500 0.000
Mg 0.000 0.500 0.500
```

Computed properties:
ρ, g/cm³: 6.04

***

Entry 2
VASP calculation (PBE) on an optimized crystal structure of Mg3Re. Values from VASP.

The structure in Quantum ESPRESSO input format:
```
&SYSTEM
  ibrav = 0, nat = 4, ntyp = 2
/
ATOMIC_SPECIES
Mg 24.30 Mg.upf
Re 186.21 Re.upf
CELL_PARAMETERS angstrom
2.803 0.000 0.000
0.000 4.431 0.000
0.000 0.000 5.801
ATOMIC_POSITIONS crystal
Mg 0.500 0.500 0.771
Re 0.000 0.000 0.000
Mg 0.000 0.000 0.500
Mg 0.500 0.500 0.229
```

Computed properties:
ρ, g/cm³: 5.97

***

Stability verdict: entry 2, ahead by 9.8 kJ/mol of atoms

***

Entry 1
VASP calculation (PBE) on an optimized crystal structure of Mg3Re4. Values from VASP.

The structure in Quantum ESPRESSO input format:
```
&SYSTEM
  ibrav = 0, nat = 7, ntyp = 2
/
ATOMIC_SPECIES
Re 186.21 Re.upf
Mg 24.30 Mg.upf
CELL_PARAMETERS angstrom
2.472 -4.282 0.000
2.472 4.282 0.000
0.000 0.000 5.021
ATOMIC_POSITIONS crystal
Re 0.000 0.000 0.255
Re 0.000 0.000 0.745
Mg 0.000 0.500 0.000
Mg 0.500 0.500 0.000
Re 0.667 0.333 0.500
Mg 0.500 0.000 0.000
Re 0.333 0.667 0.500
```

Computed properties:
ρ, g/cm³: 12.77

***

Entry 2
VASP calculation (PBE) on an optimized crystal structure of Mg3Re4. Values from VASP.

The structure in Quantum ESPRESSO input format:
```
&SYSTEM
  ibrav = 0, nat = 7, ntyp = 2
/
ATOMIC_SPECIES
Re 186.21 Re.upf
Mg 24.30 Mg.upf
CELL_PARAMETERS angstrom
12.398 0.005 0.000
11.628 4.300 0.000
-12.013 -2.153 2.182
ATOMIC_POSITIONS crystal
Re 0.870 0.870 0.000
Re 0.130 0.130 0.000
Mg 0.295 0.295 0.000
Re 0.427 0.427 0.000
Mg 0.000 0.000 0.000
Re 0.573 0.573 0.000
Mg 0.705 0.705 0.000
```

Computed properties:
ρ, g/cm³: 11.69

***

Stability verdict: entry 2, ahead by 42.6 kJ/mol of atoms

***

Entry 1
VASP calculation (PBE) on an optimized crystal structure of Mg3Re5. Values from VASP.

The structure in Quantum ESPRESSO input format:
```
&SYSTEM
  ibrav = 0, nat = 16, ntyp = 2
/
ATOMIC_SPECIES
Mg 24.30 Mg.upf
Re 186.21 Re.upf
CELL_PARAMETERS angstrom
-5.482 0.105 -5.590
4.643 -7.539 3.275
-3.471 -0.665 3.391
ATOMIC_POSITIONS crystal
Mg 0.000 0.352 0.750
Re 0.397 0.698 0.000
Re 0.775 0.822 0.250
Mg 0.595 0.030 0.250
Re 0.225 0.178 0.750
Re 0.000 0.854 0.750
Re 0.225 0.048 0.250
Re 0.603 0.302 0.000
Mg 0.595 0.565 0.750
Mg 0.405 0.970 0.750
Re 0.603 0.302 0.500
Re 0.775 0.953 0.750
Mg 0.000 0.648 0.250
Mg 0.405 0.435 0.250
Re 0.000 0.146 0.250
Re 0.397 0.698 0.500
```

Computed properties:
ρ, g/cm³: 11.54

***

Entry 2
VASP calculation (PBE) on an optimized crystal structure of Mg3Re5. Values from VASP.

The structure in Quantum ESPRESSO input format:
```
&SYSTEM
  ibrav = 0, nat = 16, ntyp = 2
/
ATOMIC_SPECIES
Mg 24.30 Mg.upf
Re 186.21 Re.upf
CELL_PARAMETERS angstrom
-1.136 -2.843 -7.281
4.834 -0.295 6.239
-5.579 -3.725 3.165
ATOMIC_POSITIONS crystal
Mg 0.323 0.823 0.145
Re 0.075 0.751 0.816
Re 0.757 0.257 0.506
Mg 0.200 0.315 0.517
Mg 0.701 0.201 0.894
Re 0.561 0.745 0.306
Mg 0.740 0.736 0.977
Re 0.749 0.446 0.199
Mg 0.815 0.700 0.517
Re 0.251 0.575 0.816
Re 0.946 0.249 0.199
Re 0.245 0.061 0.306
Re 0.246 0.746 0.503
Mg 0.236 0.240 0.977
Re 0.444 0.217 0.664
Re 0.717 0.944 0.664
```

Computed properties:
ρ, g/cm³: 12.81

***

Entry 3
VASP calculation (PBE) on an optimized crystal structure of Mg3Re5. Values from VASP.

The structure in Quantum ESPRESSO input format:
```
&SYSTEM
  ibrav = 0, nat = 8, ntyp = 2
/
ATOMIC_SPECIES
Re 186.21 Re.upf
Mg 24.30 Mg.upf
CELL_PARAMETERS angstrom
1.686 2.824 5.426
-5.433 3.267 -0.257
-1.426 -2.245 1.611
ATOMIC_POSITIONS crystal
Re 0.500 0.000 0.000
Mg 0.752 0.752 0.500
Re 0.000 0.500 0.000
Mg 0.248 0.248 0.500
Re 0.237 0.763 0.500
Re 0.763 0.237 0.500
Re 0.000 0.000 0.000
Mg 0.500 0.500 0.000
```

Computed properties:
ρ, g/cm³: 13.32

***

Stability verdict: entry 3, ahead by 16.3 kJ/mol of atoms

***

Entry 1
VASP calculation (PBE) on an optimized crystal structure of MgRe2. Values from VASP.

The structure in Quantum ESPRESSO input format:
```
&SYSTEM
  ibrav = 0, nat = 6, ntyp = 2
/
ATOMIC_SPECIES
Re 186.21 Re.upf
Mg 24.30 Mg.upf
CELL_PARAMETERS angstrom
2.253 -3.902 0.000
2.253 3.902 0.000
0.000 0.000 5.215
ATOMIC_POSITIONS crystal
Re 0.000 0.000 0.500
Re 0.000 0.000 0.000
Re 0.333 0.667 0.250
Re 0.667 0.333 0.750
Mg 0.667 0.333 0.250
Mg 0.333 0.667 0.750
```

Computed properties:
ρ, g/cm³: 14.37

***

Entry 2
VASP calculation (PBE) on an optimized crystal structure of MgRe2. Values from VASP.

The structure in Quantum ESPRESSO input format:
```
&SYSTEM
  ibrav = 0, nat = 6, ntyp = 2
/
ATOMIC_SPECIES
Mg 24.30 Mg.upf
Re 186.21 Re.upf
CELL_PARAMETERS angstrom
-2.910 4.329 -0.326
0.236 -3.595 3.786
3.264 2.347 2.025
ATOMIC_POSITIONS crystal
Mg 0.076 0.924 0.750
Re 0.751 0.249 0.750
Re 0.608 0.392 0.250
Re 0.249 0.751 0.250
Mg 0.924 0.076 0.250
Re 0.392 0.608 0.750
```

Computed properties:
ρ, g/cm³: 13.95

***

Stability verdict: entry 2, ahead by 45.0 kJ/mol of atoms

***

Entry 1
VASP calculation (PBE) on an optimized crystal structure of MgRe2. Values from VASP.

The structure in Quantum ESPRESSO input format:
```
&SYSTEM
  ibrav = 0, nat = 3, ntyp = 2
/
ATOMIC_SPECIES
Re 186.21 Re.upf
Mg 24.30 Mg.upf
CELL_PARAMETERS angstrom
-1.704 3.161 2.179
-4.167 0.212 0.484
-1.717 -0.729 3.764
ATOMIC_POSITIONS crystal
Re 0.750 0.750 0.750
Mg 0.000 0.000 0.000
Re 0.250 0.250 0.250
```

Computed properties:
ρ, g/cm³: 12.57

***

Entry 2
VASP calculation (PBE) on an optimized crystal structure of MgRe2. Values from VASP.

The structure in Quantum ESPRESSO input format:
```
&SYSTEM
  ibrav = 0, nat = 6, ntyp = 2
/
ATOMIC_SPECIES
Re 186.21 Re.upf
Mg 24.30 Mg.upf
CELL_PARAMETERS angstrom
1.555 4.962 -0.005
-1.555 4.962 -0.005
0.000 2.268 6.030
ATOMIC_POSITIONS crystal
Re 0.500 0.500 0.000
Re 0.844 0.844 0.341
Re 0.500 0.500 0.500
Mg 0.830 0.830 0.828
Mg 0.170 0.170 0.172
Re 0.156 0.156 0.659
```

Computed properties:
ρ, g/cm³: 14.15

***

Stability verdict: entry 2, ahead by 150.5 kJ/mol of atoms